# 1
# CsK2P2

A relaxed structure of CsK2P2 (PBE, Alexandria via LeMat-Bulk).

Computed properties:
**Formation energy from the elements**: -0.28 eV/atom
**Magnetization**: 1.0 μB per formula unit
**Energy relative to the lowest polymorph listed for this composition**: 0 meV per atom
**Total DFT energy (no corrections)**: -3.053 eV/atom

Cell lengths 13.8502, 6.0559, 9.1742 Å; angles 90.00, 101.82, 90.00 degrees
Space group C2/c (No. 15)
Asymmetric unit:
Cs 0.0000 0.1550 0.2500
K 0.1802 0.3365 0.6564
P 0.1774 0.1793 0.9985

# 2
# Cs4K2P

A relaxed structure of Cs4K2P (PBE, Alexandria via LeMat-Bulk).

Computed properties:
**Formation energy from the elements**: -0.07 eV/atom
**Magnetization**: 0.0 μB per formula unit
**Total DFT energy (no corrections)**: -1.647 eV/atom

Cell lengths 18.4885, 6.4450, 9.3966 Å; angles 90.00, 115.36, 90.00 degrees
Space group C2/m (No. 12)
Asymmetric unit:
Cs 0.0317 0.0000 0.2256
Cs 0.1286 0.5000 0.8029
K 0.1793 0.5000 0.2881
P 0.0000 0.5000 0.0000

# 3
# CsK2P2

A relaxed structure of CsK2P2 (PBE, Alexandria via LeMat-Bulk).

Computed properties:
**Formation energy from the elements**: -0.25 eV/atom
**Magnetization**: 1.0 μB per formula unit
**Energy relative to the lowest polymorph listed for this composition**: 31 meV per atom
**Total DFT energy (no corrections)**: -3.021 eV/atom

Cell lengths 5.3943, 5.3943, 12.1523 Å; angles 90.00, 90.00, 90.00 degrees
Space group I4/mmm (No. 139)
Asymmetric unit:
Cs 0.0000 0.0000 0.0000
K 0.0000 0.5000 0.2500
P 0.0000 0.0000 0.4110

# 4
# Cs12K7P

A relaxed structure of Cs12K7P (PBE, Alexandria via LeMat-Bulk).

Computed properties:
**Formation energy from the elements**: -0.03 eV/atom
**Magnetization**: 0.0 μB per formula unit
**Total DFT energy (no corrections)**: -1.199 eV/atom

Cell lengths 22.5037, 22.5037, 12.5724 Å; angles 90.00, 90.00, 120.00 degrees
Space group R-3 (No. 148, hexagonal axes)
Asymmetric unit:
Cs 0.0188 0.1324 0.1535
Cs 0.0673 0.5597 0.1738
K 0.0000 0.0000 0.5000
K 0.0392 0.4139 0.4895
P 0.0000 0.0000 0.0000

# 5
# CsK2P2

A relaxed structure of CsK2P2 (PBE, Alexandria via LeMat-Bulk).

Computed properties:
**Formation energy from the elements**: -0.23 eV/atom
**Magnetization**: 0.9 μB per formula unit
**Energy relative to the lowest polymorph listed for this composition**: 47 meV per atom
**Total DFT energy (no corrections)**: -3.006 eV/atom

Cell lengths 8.6286, 8.6286, 5.0427 Å; angles 90.00, 90.00, 90.00 degrees
Space group P4/mbm (No. 127)
Asymmetric unit:
Cs 0.0000 0.0000 0.0000
K 0.1565 0.3435 0.5000
P 0.0888 0.5888 0.0000

# 6
# Cs6K2P

A relaxed structure of Cs6K2P (PBE, Alexandria via LeMat-Bulk).

Computed properties:
**Formation energy from the elements**: -0.07 eV/atom
**Magnetization**: 0.0 μB per formula unit
**Total DFT energy (no corrections)**: -1.488 eV/atom

Cell lengths 12.7877, 19.2984, 11.5544 Å; angles 90.00, 90.93, 90.00 degrees
Space group C2/c (No. 15)
Asymmetric unit:
Cs 0.0114 0.1022 0.4549
Cs 0.1774 0.2028 0.7615
Cs 0.2389 0.4849 0.7584
K 0.0061 0.3681 0.4708
P 0.0000 0.0507 0.7500

# 7
# Cs2K2P

A relaxed structure of Cs2K2P (PBE, Alexandria via LeMat-Bulk).

Computed properties:
**Formation energy from the elements**: -0.08 eV/atom
**Magnetization**: 0.0 μB per formula unit
**Energy relative to the lowest polymorph listed for this composition**: 0 meV per atom
**Total DFT energy (no corrections)**: -1.937 eV/atom

Cell lengths 5.5332, 5.5332, 32.8956 Å; angles 90.00, 90.00, 120.00 degrees
Space group R-3m (No. 166, hexagonal axes)
Asymmetric unit:
Cs 0.0000 0.0000 0.2351
K 0.0000 0.0000 0.3582
P 0.0000 0.0000 0.0000

# 8
# CsK3P

A relaxed structure of CsK3P (PBE, Alexandria via LeMat-Bulk).

Computed properties:
**Formation energy from the elements**: 0.91 eV/atom
**Magnetization**: 0.0 μB per formula unit
**Energy relative to the lowest polymorph listed for this composition**: 982 meV per atom
**Total DFT energy (no corrections)**: -1.003 eV/atom

Cell lengths 6.9994, 6.9994, 6.9994 Å; angles 90.00, 90.00, 90.00 degrees
Space group Pm-3m (No. 221)
Asymmetric unit:
Cs 0.0000 0.0000 0.0000
K 0.0000 0.0000 0.5000
P 0.5000 0.5000 0.5000

# 9
# Cs3K4P

A relaxed structure of Cs3K4P (PBE, Alexandria via LeMat-Bulk).

Computed properties:
**Formation energy from the elements**: -0.05 eV/atom
**Magnetization**: 0.0 μB per formula unit
**Total DFT energy (no corrections)**: -1.592 eV/atom

Cell lengths 7.8015, 15.9416, 9.2495 Å; angles 90.00, 90.00, 90.00 degrees
Space group Pmmn (No. 59, origin choice 2)
Asymmetric unit:
Cs 0.2500 0.0328 0.1852
Cs 0.2500 0.7500 0.5656
K 0.0077 0.2500 0.0189
K 0.2500 0.1276 0.5893
P 0.2500 0.2500 0.3060

# 10
# Cs2KP

A relaxed structure of Cs2KP (PBE, Alexandria via LeMat-Bulk).

Computed properties:
**Formation energy from the elements**: -0.15 eV/atom
**Magnetization**: 0.0 μB per formula unit
**Total DFT energy (no corrections)**: -2.199 eV/atom

Cell lengths 12.1119, 8.0521, 10.0525 Å; angles 90.00, 114.31, 90.00 degrees
Space group P2_1/c (No. 14)
Asymmetric unit:
Cs 0.1979 0.2504 0.1016
Cs 0.2335 0.6878 0.3688
K 0.5000 0.0007 0.3023
P 0.4478 0.1254 0.9738

# 11
# Cs2KP

A relaxed structure of Cs2KP (PBE, Alexandria via LeMat-Bulk).

Computed properties:
**Formation energy from the elements**: 0.16 eV/atom
**Magnetization**: 0.0 μB per formula unit
**Total DFT energy (no corrections)**: -1.892 eV/atom

Cell lengths 5.4859, 5.4859, 24.0649 Å; angles 90.00, 90.00, 90.00 degrees
Space group I-42d (No. 122)
Asymmetric unit:
Cs 0.2350 0.2500 0.1250
K 0.0000 0.0000 0.5000
P 0.0000 0.0000 0.0000

# 12
# Cs5KP

A relaxed structure of Cs5KP (PBE, Alexandria via LeMat-Bulk).

Computed properties:
**Formation energy from the elements**: -0.07 eV/atom
**Magnetization**: 0.0 μB per formula unit
**Total DFT energy (no corrections)**: -1.612 eV/atom

Cell lengths 17.6179, 10.3778, 14.7611 Å; angles 90.00, 114.72, 90.00 degrees
Space group C2/c (No. 15)
Asymmetric unit:
Cs 0.0000 0.0014 0.2500
Cs 0.1436 0.2340 0.0707
Cs 0.1485 0.2265 0.5755
K 0.0000 0.4996 0.2500
P 0.0000 0.0000 0.0000

Copy entry 10 word for word.
# Cs2KP

A relaxed structure of Cs2KP (PBE, Alexandria via LeMat-Bulk).

Computed properties:
**Formation energy from the elements**: -0.15 eV/atom
**Magnetization**: 0.0 μB per formula unit
**Total DFT energy (no corrections)**: -2.199 eV/atom

Cell lengths 12.1119, 8.0521, 10.0525 Å; angles 90.00, 114.31, 90.00 degrees
Space group P2_1/c (No. 14)
Asymmetric unit:
Cs 0.1979 0.2504 0.1016
Cs 0.2335 0.6878 0.3688
K 0.5000 0.0007 0.3023
P 0.4478 0.1254 0.9738

Q: Among the records above, which one has the highest formation energy from the elements?
A: CsK3P